16
Lattice="10.323 0.000 0.000 8.561 5.768 0.000 13.722 4.191 2.570" Properties=species:S:1:pos:R:3 comment="Li4Ni3TeO8, relaxed, DFT PBE with a Hubbard U" final_energy_ev_per_atom=-5.099 vol_a3_per_atom=9.6 pbc="T T T"
Ni 18.003 7.075 2.570
Ni 13.722 5.768 0.000
Ni 23.164 7.075 2.570
Te 13.722 4.191 2.570
O 22.444 6.855 0.666
O 18.094 4.069 0.593
O 17.279 6.735 0.593
O 10.161 3.104 1.903
O 12.932 3.950 0.787
O 14.512 5.890 1.977
O 15.326 3.224 1.977
O 19.673 6.009 1.782
Li 15.422 7.864 1.285
Li 11.141 4.980 1.285
Li 12.022 2.095 1.285
Li 16.303 4.979 1.285

---

12
Lattice="-3.859 -3.603 -0.270 5.029 -1.452 -0.743 0.084 0.805 5.234" Properties=species:S:1:pos:R:3 comment="Li2Ni3TeO6, relaxed, DFT PBE with a Hubbard U" final_energy_ev_per_atom=-4.957 vol_a3_per_atom=10.1 pbc="T T T"
Li 2.057 -2.172 -0.585
Li -0.888 -2.884 -0.429
Ni 3.558 -1.416 1.954
Ni -2.305 -2.835 2.266
Ni 0.627 -2.125 2.110
Te 0.000 0.000 0.000
O -0.534 -3.540 3.177
O 0.907 -3.615 0.601
O 1.788 -0.711 1.043
O 2.405 -2.829 3.021
O 0.347 -0.636 3.619
O -1.152 -1.422 1.199

---

28
Lattice="5.966 0.000 -0.004 2.967 5.176 -0.004 -0.070 -0.041 10.048" Properties=species:S:1:pos:R:3 comment="Li4Ti3Ni3Te2O16, relaxed, DFT PBE with a Hubbard U" final_energy_ev_per_atom=-6.387 vol_a3_per_atom=11.1 pbc="T T T"
Li 5.907 3.422 0.911
Li 8.904 5.159 0.156
Li 0.007 0.004 5.110
Li 2.924 1.694 5.993
Ti 1.527 0.885 2.767
Ti 5.955 1.796 7.846
Ti 4.520 4.273 7.846
Ni 7.339 4.252 8.019
Ni 4.412 0.879 2.805
Ni 2.957 3.391 2.805
Te 5.997 3.474 4.911
Te 3.007 1.742 0.144
O 4.515 2.616 6.858
O 5.786 3.352 9.002
O -0.035 -0.020 7.096
O 0.044 0.026 1.978
O 1.439 0.834 9.164
O 7.489 4.339 4.041
O 2.847 1.649 3.910
O 4.266 2.472 1.450
O 6.024 1.757 3.886
O 4.520 4.352 3.886
O 7.257 2.499 6.805
O 5.777 5.053 6.805
O 2.905 0.196 1.432
O 1.615 2.423 1.432
O 4.375 0.835 9.197
O 2.901 3.380 9.197

---

28
Lattice="-3.153 -3.143 3.847 5.166 2.510 1.787 -5.102 8.457 2.701" Properties=species:S:1:pos:R:3 comment="Li4V3Ni3Te2O16, relaxed, DFT PBE with a Hubbard U" final_energy_ev_per_atom=-6.015 vol_a3_per_atom=11.3 pbc="T T T"
Li -0.920 -0.482 3.349
Li -0.018 0.156 0.089
Li -5.712 1.125 5.205
Li -0.666 5.661 4.137
V -5.605 4.438 5.713
V -4.099 5.968 3.749
V -0.065 2.583 2.038
Ni -3.214 5.798 6.546
Ni 0.747 2.409 4.773
Ni 2.286 3.953 2.899
Te -2.839 2.841 4.491
Te 2.528 0.699 2.636
O -3.792 1.138 4.575
O -5.009 4.165 3.921
O -5.031 6.226 5.564
O -6.639 2.743 5.698
O -0.930 1.718 0.636
O -2.214 2.727 2.645
O -4.150 3.854 6.493
O -2.611 5.462 4.559
O -3.466 7.828 3.426
O -1.208 2.447 5.496
O 0.180 1.166 3.108
O 1.585 2.611 1.375
O 0.242 3.868 3.358
O -2.366 7.703 6.619
O 2.693 2.147 3.951
O -0.699 9.269 4.701

---

32
Lattice="5.825 -0.003 0.002 -0.147 5.864 0.001 -0.014 0.088 8.396" Properties=species:S:1:pos:R:3 comment="Li4TiNi3O8, relaxed, DFT PBE with a Hubbard U" final_energy_ev_per_atom=-5.670 vol_a3_per_atom=9.0 pbc="T T T"
Li 5.787 0.048 4.199
Li 2.854 3.013 8.397
Li 1.334 4.464 6.298
Li 4.329 1.485 2.101
Li 1.417 1.487 2.100
Li 4.248 4.462 6.300
Li 5.750 2.923 0.023
Li 2.906 0.048 4.179
Ti 5.652 5.946 8.398
Ti 2.844 2.977 4.201
Ni 4.321 1.530 6.299
Ni 4.255 4.417 2.101
Ni 2.917 0.088 8.397
Ni 1.343 4.419 2.100
Ni 1.408 1.532 6.298
Ni 5.725 2.971 4.201
O 5.672 3.064 2.274
O 2.933 0.175 6.470
O 2.838 5.770 1.928
O 5.708 2.885 6.128
O 1.522 1.550 4.160
O 4.373 4.415 0.009
O 1.310 1.424 0.040
O 4.136 4.420 4.193
O 1.323 4.287 4.239
O 4.319 1.331 0.010
O 1.348 4.639 8.357
O 4.338 1.640 4.192
O 5.706 0.166 6.388
O 2.907 3.053 2.190
O 2.935 2.894 6.210
O 5.603 5.781 2.013

---

16
Lattice="-1.112 -5.403 2.088 1.740 -4.738 -3.051 2.908 -1.970 4.762" Properties=species:S:1:pos:R:3 comment="Li3TiNi4O8, relaxed, DFT PBE with a Hubbard U" final_energy_ev_per_atom=-5.657 vol_a3_per_atom=9.1 pbc="T T T"
Li 1.454 -0.985 2.381
Li 0.898 -3.686 3.425
Li 1.768 -6.056 1.900
Ti 0.314 -5.071 -0.481
Ni 2.324 -3.354 0.856
Ni 0.000 0.000 0.000
Ni -0.556 -2.701 1.044
Ni 0.870 -2.369 -1.525
O 2.150 -5.417 3.896
O 1.580 -8.010 4.867
O 2.939 -7.694 2.417
O 2.443 -10.376 3.417
O 1.092 -1.735 0.382
O 0.596 -4.417 1.382
O 1.956 -4.101 -1.068
O 1.386 -6.694 -0.097

---

28
Lattice="2.916 5.155 0.012 -2.916 5.155 0.012 0.000 0.249 9.584" Properties=species:S:1:pos:R:3 comment="Li4Ti5Ni3O16, relaxed, DFT PBE with a Hubbard U" final_energy_ev_per_atom=-7.079 vol_a3_per_atom=10.3 pbc="T T T"
Li 0.000 6.807 1.007
Li 0.000 10.219 0.105
Li 0.000 0.144 4.847
Li 0.000 3.663 5.742
Ti 1.439 6.363 7.478
Ti 0.000 6.990 4.796
Ti -1.439 6.363 7.478
Ti 0.000 1.845 2.585
Ti 0.000 3.492 0.037
Ni 0.000 8.782 7.611
Ni 1.440 4.318 2.784
Ni -1.440 4.318 2.784
O 1.442 6.205 3.923
O 0.000 5.564 6.360
O 0.000 6.989 8.617
O 0.000 0.246 6.669
O 0.000 10.300 1.929
O -1.442 6.205 3.923
O 1.339 7.789 6.315
O -1.339 7.789 6.315
O 0.000 1.956 8.647
O 0.000 8.757 3.916
O 1.295 2.589 1.502
O -1.295 2.589 1.502
O 0.000 3.530 3.726
O 1.410 4.553 8.737
O 0.000 4.902 1.603
O -1.410 4.553 8.737

---

30
Lattice="6.461 -0.014 0.017 2.154 6.179 -0.018 3.186 0.842 7.069" Properties=species:S:1:pos:R:3 comment="Li6TiNi7O16, relaxed, DFT PBE with a Hubbard U" final_energy_ev_per_atom=-5.225 vol_a3_per_atom=9.4 pbc="T T T"
Li 3.235 2.326 3.071
Li 7.922 3.496 1.398
Li 6.629 6.055 2.211
Li 5.222 0.849 4.860
Li 3.909 3.495 5.697
Li 9.086 5.870 6.638
Ti 6.497 0.087 0.043
Ni 5.191 2.402 0.907
Ni 4.055 4.851 1.802
Ni 7.103 1.042 2.690
Ni 5.953 3.551 3.496
Ni 4.659 5.925 4.427
Ni 7.764 2.159 5.327
Ni 6.549 4.568 6.145
O 4.685 0.487 0.228
O 3.478 3.159 1.173
O 2.436 0.345 2.660
O 7.014 1.813 0.603
O 5.842 4.241 1.634
O 5.306 1.743 2.736
O 4.144 4.237 3.819
O 3.101 1.474 5.094
O 8.726 5.526 1.865
O 7.706 2.712 3.259
O 6.414 5.369 4.203
O 6.004 2.894 5.392
O 4.753 5.282 6.228
O 9.363 6.638 4.669
O 8.318 3.821 6.144
O 7.128 6.250 6.771

---

59
Lattice="-5.131 6.526 1.424 -6.180 -3.979 -4.113 -2.495 -3.555 7.217" Properties=species:S:1:pos:R:3 comment="Li11Ti12Ni4O32, relaxed, DFT PBE with a Hubbard U" final_energy_ev_per_atom=-7.332 vol_a3_per_atom=10.1 pbc="T T T"
Li -1.716 -0.125 0.563
Li -7.164 -3.122 0.884
Li -6.239 -3.044 3.723
Li -3.823 1.525 4.298
Li -5.985 -0.398 5.087
Li -7.831 -0.611 -0.590
Li -5.660 1.233 -1.366
Li -6.639 2.142 3.659
Li -7.560 2.008 0.821
Li -12.090 -0.883 3.965
Li -4.323 -3.765 1.596
Ti -3.133 -1.115 5.815
Ti -3.985 -1.157 2.921
Ti -4.920 -1.242 0.051
Ti -9.150 -2.416 3.080
Ti -8.741 -0.716 -3.388
Ti -4.648 1.408 1.473
Ti -9.823 0.125 1.595
Ti -8.892 0.256 4.464
Ti -5.385 3.983 0.084
Ti -6.380 4.737 5.026
Ti -5.288 -3.877 -1.371
Ti -5.588 -5.533 5.154
Ni -5.922 -1.400 -2.754
Ni -6.903 -0.504 2.264
Ni -4.484 4.051 2.846
Ni -3.400 -3.659 4.435
O -4.569 -1.886 4.645
O -2.569 -0.282 4.033
O -6.343 -2.253 -0.843
O -4.393 -0.496 -1.701
O -7.980 -3.928 2.644
O -9.983 -5.749 3.370
O -3.584 -0.262 1.175
O -5.481 -2.028 1.890
O -9.697 -3.356 4.730
O -10.517 -3.483 2.079
O -5.249 0.475 3.154
O -6.115 0.323 0.481
O -8.570 -1.433 1.345
O -7.697 -1.384 4.020
O -4.154 2.375 -0.210
O -3.257 2.446 2.418
O -8.307 1.022 2.695
O -10.222 -0.746 3.352
O -3.877 4.735 0.992
O -5.884 2.913 1.706
O -11.263 -0.726 0.542
O -9.220 1.043 -0.031
O -9.365 -0.511 6.252
O -7.422 1.087 5.462
O -11.866 1.663 -0.719
O -10.991 1.739 1.794
O -10.023 1.819 4.889
O -9.174 1.821 7.523
O -1.925 -2.517 5.328
O -2.786 -2.712 2.705
O -3.823 -2.863 -0.365
O -4.594 -2.976 -2.910

---

15
Lattice="-4.678 0.757 3.250 -3.028 -3.486 -3.532 -2.711 -4.683 2.264" Properties=species:S:1:pos:R:3 comment="Li3TiNi3O8, relaxed, DFT PBE with a Hubbard U" final_energy_ev_per_atom=-5.683 vol_a3_per_atom=9.5 pbc="T T T"
Li -3.853 -1.365 -0.141
Li -2.870 -4.085 -0.634
Li -5.209 -3.706 0.991
Ti 0.000 0.000 0.000
Ni -2.339 0.378 1.625
Ni -3.695 -1.963 2.757
Ni -1.356 -2.342 1.132
O -7.144 -4.357 0.748
O -3.274 -3.056 1.235
O -4.980 -4.628 -0.865
O -5.438 -2.784 2.847
O -3.553 -2.555 -1.871
O -8.533 -6.808 1.915
O -1.885 -0.604 0.067
O -6.864 -4.858 3.853

---

20
Lattice="-3.229 -0.719 3.888 3.168 -3.999 0.639 3.641 6.449 2.227" Properties=species:S:1:pos:R:3 comment="Li5Ti2Ni3O10, relaxed, DFT PBE with a Hubbard U" final_energy_ev_per_atom=-6.170 vol_a3_per_atom=9.1 pbc="T T T"
Li 3.589 -1.198 2.312
Li 2.554 3.618 3.550
Li 1.790 0.865 3.377
Li 1.027 -1.887 3.204
Li -0.008 2.929 4.442
Ti 4.467 1.509 2.407
Ti -0.886 0.222 4.347
Ni 1.584 -1.999 0.319
Ni 3.859 1.725 5.285
Ni -0.279 0.006 1.470
O 3.180 5.077 2.122
O 4.587 3.052 3.802
O 2.553 2.104 1.938
O 1.664 -0.622 1.679
O 3.808 0.369 3.728
O -0.227 1.362 3.026
O 1.916 2.353 5.075
O 1.028 -0.373 4.816
O -1.007 -1.321 2.952
O 0.401 -3.346 4.633

---

30
Lattice="5.744 0.001 0.000 2.871 5.188 -0.003 -2.871 -1.480 9.531" Properties=species:S:1:pos:R:3 comment="Li3TiNi3O8, relaxed, DFT PBE with a Hubbard U" final_energy_ev_per_atom=-5.684 vol_a3_per_atom=9.5 pbc="T T T"
Li 5.744 3.522 2.381
Li 0.000 0.187 7.147
Li 4.304 2.576 0.009
Li 4.311 -0.720 4.755
Li 4.305 1.134 9.519
Li 4.311 4.429 4.773
Ti 0.008 0.000 0.000
Ti 2.864 1.854 4.764
Ni 5.713 1.855 4.764
Ni 1.436 2.781 7.146
Ni 1.436 0.927 2.382
Ni 0.032 -1.479 9.531
Ni 4.308 0.928 2.382
Ni 4.308 2.782 7.146
O 5.662 1.608 1.195
O 2.953 3.461 5.959
O 2.953 0.248 3.569
O -0.081 2.102 8.333
O 2.932 1.500 1.140
O 5.683 3.354 5.904
O -0.060 0.355 3.624
O 2.933 2.210 8.388
O 1.370 2.609 3.725
O 1.392 -0.723 8.454
O 4.352 2.611 3.687
O -1.370 -0.724 8.492
O 7.135 4.432 1.074
O 1.371 1.099 5.803
O 4.373 4.433 1.036
O 4.352 1.098 5.841